1.
# AcTh2Ag (PBE-GGA, optimized geometry)
data_AcTh2Ag
_cell_length_a 3.756
_cell_length_b 3.756
_cell_length_c 8.965
_cell_angle_alpha 90.00
_cell_angle_beta 90.00
_cell_angle_gamma 90.00
_space_group_name_H-M_alt 'P 4/m m m'
_space_group_IT_number 123
_space_group_name_Hall '-P 4 2'
loop_
_atom_site_label
_atom_site_fract_x
_atom_site_fract_y
_atom_site_fract_z
Ac1 0.000 0.000 0.000
Th1 0.500 0.500 0.289
Ag1 0.000 0.000 0.500
# - mass density (g/cm3) = 10.49
# - uncorrected energy (eV per atom) = -5.385
# - spin magnetization (Bohr magnetons per cell) = 0.0
# - DOS at the Fermi energy (states/eV/atom) = 1.063

=====

2.
# YMoRh2 (PBE-GGA, optimized geometry)
data_YMoRh2
_cell_length_a 2.9549
_cell_length_b 2.9549
_cell_length_c 27.4021
_cell_angle_alpha 90.00
_cell_angle_beta 90.00
_cell_angle_gamma 120.00
_space_group_name_H-M_alt 'R -3 m'
_space_group_IT_number 166
_space_group_name_Hall '-R 3 2"'
loop_
_atom_site_label
_atom_site_fract_x
_atom_site_fract_y
_atom_site_fract_z
Y1 0.0000 0.0000 0.0000
Mo1 0.0000 0.0000 0.5000
Rh1 0.0000 0.0000 0.2433
# - mass density (g/cm3) = 9.39
# - uncorrected energy (eV per atom) = -7.902
# - spin magnetization (Bohr magnetons per cell) = 0.0
# - DOS at the Fermi energy (states/eV/atom) = 1.175

=====

3.
# PrSm8Dy4 (PBE-GGA, optimized geometry)
data_PrSm8Dy4
_cell_length_a 11.1908
_cell_length_b 11.1908
_cell_length_c 13.4365
_cell_angle_alpha 90.00
_cell_angle_beta 90.00
_cell_angle_gamma 120.00
_space_group_name_H-M_alt 'R -3 m'
_space_group_IT_number 166
_space_group_name_Hall '-R 3 2"'
loop_
_atom_site_label
_atom_site_fract_x
_atom_site_fract_y
_atom_site_fract_z
Pr1 0.0000 0.0000 0.0000
Sm1 0.0000 0.0000 0.2622
Sm2 0.0127 0.5064 0.2430
Dy1 0.0000 0.0000 0.5000
Dy2 0.0000 0.5000 0.5000
# - mass density (g/cm3) = 6.82
# - uncorrected energy (eV per atom) = -4.199
# - spin magnetization (Bohr magnetons per cell) = 0.0
# - DOS at the Fermi energy (states/eV/atom) = 1.673